The following is a DFT calculation (PBE-GGA) of an optimized crystal structure of Sr2MgCd2.

Output
Its crystal system is tetragonal. The calculation puts the energy of formation at -37.5 meV/atom.

Structure (CIF):
```
data_Sr2MgCd2
_cell_length_a 9.448
_cell_length_b 9.448
_cell_length_c 3.925
_cell_angle_alpha 90.00
_cell_angle_beta 90.00
_cell_angle_gamma 90.00
_symmetry_space_group_name_H-M 'P 4/m b m'
_symmetry_Int_Tables_number 127
_symmetry_space_group_name_Hall '-P 4 2ab'
loop_
_atom_site_label
_atom_site_type_symbol
_atom_site_fract_x
_atom_site_fract_y
_atom_site_fract_z
Sr1 Sr 0.152 0.348 0.000
Mg1 Mg 0.000 0.000 0.000
Cd1 Cd 0.143 0.643 0.500
```



The following is a DFT calculation (PBE-GGA) of an optimized crystal structure of Sr3MgCd2.

Output
Its crystal system is tetragonal. The calculation puts the energy of formation at -238.9 meV/atom.

Structure (CIF):
```
data_Sr3MgCd2
_cell_length_a 4.106
_cell_length_b 4.106
_cell_length_c 12.238
_cell_angle_alpha 90.00
_cell_angle_beta 90.00
_cell_angle_gamma 90.00
_symmetry_space_group_name_H-M 'P 4/m m m'
_symmetry_Int_Tables_number 123
_symmetry_space_group_name_Hall '-P 4 2'
loop_
_atom_site_label
_atom_site_type_symbol
_atom_site_fract_x
_atom_site_fract_y
_atom_site_fract_z
Sr1 Sr 0.000 0.000 0.000
Sr2 Sr 0.000 0.000 0.325
Mg1 Mg 0.500 0.500 0.500
Cd1 Cd 0.500 0.500 0.165
```



The following is a DFT calculation (PBE-GGA) of an optimized crystal structure of Sr2MgCd.

Output
Its crystal system is monoclinic. The calculation puts the energy of formation at 5.1 meV/atom.

Structure (CIF):
```
data_Sr2MgCd
_cell_length_a 10.369
_cell_length_b 4.091
_cell_length_c 7.609
_cell_angle_alpha 90.00
_cell_angle_beta 101.77
_cell_angle_gamma 90.00
_symmetry_space_group_name_H-M 'C 1 2/m 1'
_symmetry_Int_Tables_number 12
loop_
_symmetry_equiv_pos_as_xyz
'x,y,z'
'-x,-y,-z'
'-x,y,-z'
'x,-y,z'
'x+1/2,y+1/2,z'
'-x+1/2,-y+1/2,-z'
'-x+1/2,y+1/2,-z'
'x+1/2,-y+1/2,z'
loop_
_atom_site_label
_atom_site_type_symbol
_atom_site_fract_x
_atom_site_fract_y
_atom_site_fract_z
Sr1 Sr 0.246 0.000 0.241
Mg1 Mg 0.000 0.000 0.500
Cd1 Cd 0.000 0.500 0.000
```



The following is a DFT calculation (PBE-GGA) of an optimized crystal structure of Sr2MgCd.

Output
Its crystal system is cubic. The calculation puts the energy of formation at -188.7 meV/atom.

Structure (CIF):
```
data_Sr2MgCd
_cell_length_a 8.236
_cell_length_b 8.236
_cell_length_c 8.236
_cell_angle_alpha 90.00
_cell_angle_beta 90.00
_cell_angle_gamma 90.00
_symmetry_space_group_name_H-M 'F m -3 m'
_symmetry_Int_Tables_number 225
_symmetry_space_group_name_Hall '-F 4 2 3'
loop_
_atom_site_label
_atom_site_type_symbol
_atom_site_fract_x
_atom_site_fract_y
_atom_site_fract_z
Sr1 Sr 0.250 0.250 0.250
Mg1 Mg 0.000 0.000 0.000
Cd1 Cd 0.000 0.000 0.500
```



The following is a DFT calculation (PBE-GGA) of an optimized crystal structure of Sr2Mg3Cd4.

Output
Its crystal system is orthorhombic. The calculation puts the energy of formation at -216.8 meV/atom.

Structure (CIF):
```
data_Sr2Mg3Cd4
_cell_length_a 6.411
_cell_length_b 17.615
_cell_length_c 8.761
_cell_angle_alpha 90.00
_cell_angle_beta 90.00
_cell_angle_gamma 90.00
_symmetry_space_group_name_H-M 'C m c e'
_symmetry_Int_Tables_number 64
_symmetry_space_group_name_Hall '-C 2ac 2'
loop_
_atom_site_label
_atom_site_type_symbol
_atom_site_fract_x
_atom_site_fract_y
_atom_site_fract_z
Sr1 Sr 0.000 0.106 0.096
Mg1 Mg 0.000 0.000 0.500
Mg2 Mg 0.250 0.229 0.750
Cd1 Cd 0.000 0.177 0.479
Cd2 Cd 0.250 0.063 0.750
```



The following is a DFT calculation (PBE-GGA) of an optimized crystal structure of Sr8MgCd2.

Output
Its crystal system is monoclinic. The calculation puts the energy of formation at -105.5 meV/atom.

Structure (CIF):
```
data_Sr8MgCd2
_cell_length_a 20.653
_cell_length_b 5.833
_cell_length_c 8.446
_cell_angle_alpha 90.00
_cell_angle_beta 109.66
_cell_angle_gamma 90.00
_symmetry_space_group_name_H-M 'C 1 2/m 1'
_symmetry_Int_Tables_number 12
loop_
_symmetry_equiv_pos_as_xyz
'x,y,z'
'-x,-y,-z'
'-x,y,-z'
'x,-y,z'
'x+1/2,y+1/2,z'
'-x+1/2,-y+1/2,-z'
'-x+1/2,y+1/2,-z'
'x+1/2,-y+1/2,z'
loop_
_atom_site_label
_atom_site_type_symbol
_atom_site_fract_x
_atom_site_fract_y
_atom_site_fract_z
Sr1 Sr 0.032 0.000 0.282
Sr2 Sr 0.096 0.500 0.966
Sr3 Sr 0.173 0.500 0.460
Sr4 Sr 0.196 0.000 0.806
Mg1 Mg 0.000 0.500 0.500
Cd1 Cd 0.183 0.000 0.198
```



The following is a DFT calculation (PBE-GGA) of an optimized crystal structure of Sr2MgCd16.

Output
Its crystal system is trigonal. The calculation puts the energy of formation at -171.7 meV/atom.

Structure (CIF):
```
data_Sr2MgCd16
_cell_length_a 10.2799
_cell_length_b 10.2799
_cell_length_c 15.1317
_cell_angle_alpha 90.00
_cell_angle_beta 90.00
_cell_angle_gamma 120.00
_symmetry_space_group_name_H-M 'R 3 m'
_symmetry_Int_Tables_number 160
_symmetry_space_group_name_Hall 'R 3 -2"'
loop_
_atom_site_label
_atom_site_type_symbol
_atom_site_fract_x
_atom_site_fract_y
_atom_site_fract_z
Sr1 Sr 0.0000 0.0000 0.0000
Sr2 Sr 0.0000 0.0000 0.3236
Mg1 Mg 0.0000 0.0000 0.7561
Cd1 Cd 0.0000 0.0000 0.5554
Cd2 Cd 0.9997 0.2964 0.6626
Cd3 Cd 0.0126 0.5063 0.8114
Cd4 Cd 0.1686 0.3372 0.4961
Cd5 Cd 0.1707 0.3413 0.8475
```



The following is a DFT calculation (PBE-GGA) of an optimized crystal structure of SrMg8Cd4.

Output
Its crystal system is tetragonal. The calculation puts the energy of formation at -133.7 meV/atom.

Structure (CIF):
```
data_SrMg8Cd4
_cell_length_a 10.207
_cell_length_b 10.207
_cell_length_c 5.966
_cell_angle_alpha 90.00
_cell_angle_beta 90.00
_cell_angle_gamma 90.00
_symmetry_space_group_name_H-M 'I 4/m m m'
_symmetry_Int_Tables_number 139
_symmetry_space_group_name_Hall '-I 4 2'
loop_
_atom_site_label
_atom_site_type_symbol
_atom_site_fract_x
_atom_site_fract_y
_atom_site_fract_z
Sr1 Sr 0.000 0.000 0.000
Mg1 Mg 0.000 0.218 0.500
Mg2 Mg 0.000 0.353 0.000
Cd1 Cd 0.250 0.250 0.250
```



The following is a DFT calculation (PBE-GGA) of an optimized crystal structure of SrMg4Cd.

Output
Its crystal system is orthorhombic. The calculation puts the energy of formation at -106.4 meV/atom.

Structure (CIF):
```
data_SrMg4Cd
_cell_length_a 8.856
_cell_length_b 4.579
_cell_length_c 8.107
_cell_angle_alpha 90.00
_cell_angle_beta 90.00
_cell_angle_gamma 90.00
_symmetry_space_group_name_H-M 'P m m a'
_symmetry_Int_Tables_number 51
loop_
_symmetry_equiv_pos_as_xyz
'x,y,z'
'-x,-y,-z'
'-x+1/2,-y,z'
'x+1/2,y,-z'
'x+1/2,-y,-z'
'-x+1/2,y,z'
'-x,y,-z'
'x,-y,z'
loop_
_atom_site_label
_atom_site_type_symbol
_atom_site_fract_x
_atom_site_fract_y
_atom_site_fract_z
Sr1 Sr 0.250 0.000 0.117
Mg1 Mg 0.000 0.000 0.500
Mg2 Mg 0.055 0.500 0.800
Mg3 Mg 0.250 0.500 0.454
Cd1 Cd 0.250 0.000 0.712
```



The following is a DFT calculation (PBE-GGA) of an optimized crystal structure of SrMg3Cd.

Output
Its crystal system is cubic. The calculation puts the energy of formation at 905.7 meV/atom.

Structure (CIF):
```
data_SrMg3Cd
_cell_length_a 6.702
_cell_length_b 6.702
_cell_length_c 6.702
_cell_angle_alpha 90.00
_cell_angle_beta 90.00
_cell_angle_gamma 90.00
_symmetry_space_group_name_H-M 'P m -3 m'
_symmetry_Int_Tables_number 221
_symmetry_space_group_name_Hall '-P 4 2 3'
loop_
_atom_site_label
_atom_site_type_symbol
_atom_site_fract_x
_atom_site_fract_y
_atom_site_fract_z
Sr1 Sr 0.000 0.000 0.000
Mg1 Mg 0.000 0.000 0.500
Cd1 Cd 0.500 0.500 0.500
```



The following N(E_F) values (in states/eV/atom) correspond, in order, to the records above: 0.7120; 0.8748; 1.0485; 0.7458; 0.4783; 1.3970; 0.3543; 0.4173; 0.4137; 1.1642.
The following total magnetic moment values (in μB per cell) correspond, in order, to the records above: 0.00; 0.00; 0.00; 0.00; 0.00; 0.00; 0.00; 0.00; 0.00; 0.00.